Computed, not measured: LiNd2Hg4 after structural relaxation at the PBE level of DFT.

For the polymorph energy (0 for the lowest one), the calculation gives 0.00 eV per formula unit. As for the symmetry: R-3m, No. 166. The magnetization is 0.0 μB/f.u. The energy of formation is -0.339 eV/atom. The calculation puts the density of states at the Fermi level at 4.2 states/eV per cell. For the total energy, the calculation gives -2.147 eV per atom.

Cell: 9.187 9.187 9.187 Å, 31.80 31.80 31.80°
Element x y z (fractional)
Li  0.000  0.000  0.000
Nd  0.250  0.250  0.250
Nd  0.750  0.750  0.750
Hg  0.129  0.129  0.129
Hg  0.370  0.370  0.370
Hg  0.630  0.630  0.630
Hg  0.871  0.871  0.871

Computed, not measured: La4NO2 after structural relaxation at the PBE level of DFT.

For the polymorph energy (0 for the lowest one), the calculation gives 0.00 eV per formula unit. As for the symmetry: C2/m, No. 12. As for the formation energy (no corrections): -1.9293 eV/atom. The magnetization is 0.0 μB/f.u. The calculation puts the density of states at the Fermi level at 8.8 states/eV per cell. For the total energy, the calculation gives -7.351 eV per atom.

Cell: 13.697 3.648 6.474 Å, 90.00 115.90 90.00°
Element x y z (fractional)
La  0.125  0.000  0.281
La  0.135  0.500  0.821
La  0.365  0.000  0.179
La  0.375  0.500  0.719
La  0.625  0.500  0.281
La  0.635  0.000  0.821
La  0.865  0.500  0.179
La  0.875  0.000  0.719
N  0.000  0.500  0.000
N  0.500  0.000  0.000
O  0.246  0.000  0.722
O  0.254  0.500  0.278
O  0.746  0.500  0.722
O  0.754  0.000  0.278

Computed, not measured: PrPu3Bi12 after structural relaxation at the PBE level of DFT.

As for the symmetry: P4/mmm, No. 123. The magnetization is 16.6 μB/f.u. The energy of formation is -0.295 eV/atom. The calculation puts the density of states at the Fermi level at 35.6 states/eV per cell. For the total energy, the calculation gives -6.192 eV per atom.

Cell: 4.915 4.915 20.220 Å, 90.00 90.00 90.00°
Element x y z (fractional)
Pr  0.000  0.000  0.000
Pu  0.000  0.000  0.252
Pu  0.000  0.000  0.500
Pu  0.000  0.000  0.748
Bi  0.000  0.500  0.128
Bi  0.000  0.500  0.376
Bi  0.000  0.500  0.624
Bi  0.000  0.500  0.872
Bi  0.500  0.000  0.128
Bi  0.500  0.000  0.376
Bi  0.500  0.000  0.624
Bi  0.500  0.000  0.872
Bi  0.500  0.500  0.000
Bi  0.500  0.500  0.252
Bi  0.500  0.500  0.500
Bi  0.500  0.500  0.748

Computed, not measured: RbGe2Pt2 after structural relaxation at the PBE level of DFT.

For the polymorph energy (0 for the lowest one), the calculation gives 1.86 eV per formula unit. As for the symmetry: P4/mbm, No. 127. The magnetization is 0.0 μB/f.u. The energy of formation is -0.097 eV/atom. The calculation puts the density of states at the Fermi level at 6.8 states/eV per cell. For the total energy, the calculation gives -4.553 eV per atom.

Cell: 8.468 8.468 2.934 Å, 90.00 90.00 90.00°
Element x y z (fractional)
Rb  0.000  0.000  0.000
Rb  0.500  0.500  0.000
Ge  0.126  0.374  0.000
Ge  0.374  0.874  0.000
Ge  0.626  0.126  0.000
Ge  0.874  0.626  0.000
Pt  0.136  0.636  0.500
Pt  0.364  0.136  0.500
Pt  0.636  0.864  0.500
Pt  0.864  0.364  0.500

Computed, not measured: LiCaDyPb after structural relaxation at the PBE level of DFT.

As for the symmetry: F-43m, No. 216. The magnetization is 0.0 μB/f.u. The energy of formation is -0.299 eV/atom. The calculation puts the density of states at the Fermi level at 9.4 states/eV per cell. For the total energy, the calculation gives -3.356 eV per atom.

Cell: 7.592 7.592 7.592 Å, 90.00 90.00 90.00°
Element x y z (fractional)
Li  0.000  0.000  0.000
Li  0.000  0.500  0.500
Li  0.500  0.000  0.500
Li  0.500  0.500  0.000
Ca  0.250  0.250  0.250
Ca  0.250  0.750  0.750
Ca  0.750  0.250  0.750
Ca  0.750  0.750  0.250
Dy  0.250  0.250  0.750
Dy  0.250  0.750  0.250
Dy  0.750  0.250  0.250
Dy  0.750  0.750  0.750
Pb  0.000  0.000  0.500
Pb  0.000  0.500  0.000
Pb  0.500  0.000  0.000
Pb  0.500  0.500  0.500

Computed, not measured: Cu2Rh3 after structural relaxation at the PBE level of DFT.

For the polymorph energy (0 for the lowest one), the calculation gives 0.87 eV per formula unit. As for the symmetry: P6_3/mmc, No. 194. The magnetization is 0.7 μB/f.u. The energy of formation is 0.251 eV/atom. The calculation puts the density of states at the Fermi level at 14.5 states/eV per cell. For the total energy, the calculation gives -5.798 eV per atom.

Cell: 2.661 2.661 23.226 Å, 90.00 90.00 120.00°
Element x y z (fractional)
Cu  0.333  0.667  0.141
Cu  0.333  0.667  0.359
Cu  0.667  0.333  0.641
Cu  0.667  0.333  0.859
Rh  0.333  0.667  0.250
Rh  0.333  0.667  0.548
Rh  0.333  0.667  0.952
Rh  0.667  0.333  0.048
Rh  0.667  0.333  0.452
Rh  0.667  0.333  0.750

Computed, not measured: Sr2ZrVI after structural relaxation at the PBE level of DFT.

As for the symmetry: P4/mmm, No. 123. As for the formation energy (no corrections): 1.0330 eV/atom. The magnetization is 1.8 μB/f.u. The calculation puts the density of states at the Fermi level at 6.4 states/eV per cell. For the total energy, the calculation gives -3.483 eV per atom.

Cell: 6.456 6.456 5.434 Å, 90.00 90.00 90.00°
Element x y z (fractional)
Sr  0.000  0.500  0.000
Sr  0.500  0.000  0.000
Zr  0.000  0.000  0.000
V  0.500  0.500  0.500
I  0.000  0.000  0.500

Computed, not measured: Mg2MoPb after structural relaxation at the PBE level of DFT.

As for the symmetry: Pmm2, No. 25. The magnetization is 0.0 μB/f.u. The energy of formation is 0.350 eV/atom. The calculation puts the density of states at the Fermi level at 1.7 states/eV per cell. For the total energy, the calculation gives -4.082 eV per atom.

Cell: 2.947 5.053 5.493 Å, 90.00 90.00 90.00°
Element x y z (fractional)
Mg  0.000  0.000  0.000
Mg  0.000  0.500  0.303
Mo  0.500  0.500  0.819
Pb  0.500  0.000  0.522

Computed, not measured: Ba2Li2Cu15 after structural relaxation at the PBE level of DFT.

As for the symmetry: R-3m, No. 166. The magnetization is 0.0 μB/f.u. The energy of formation is -0.014 eV/atom. The calculation puts the density of states at the Fermi level at 5.2 states/eV per cell. For the total energy, the calculation gives -3.651 eV per atom.

Cell: 6.694 6.694 6.694 Å, 83.40 83.40 83.40°
Element x y z (fractional)
Ba  0.158  0.158  0.158
Ba  0.842  0.842  0.842
Li  0.409  0.409  0.409
Li  0.591  0.591  0.591
Cu  0.000  0.500  0.500
Cu  0.165  0.165  0.656
Cu  0.165  0.656  0.165
Cu  0.214  0.500  0.786
Cu  0.214  0.786  0.500
Cu  0.344  0.835  0.835
Cu  0.500  0.000  0.500
Cu  0.500  0.214  0.786
Cu  0.500  0.500  0.000
Cu  0.500  0.786  0.214
Cu  0.656  0.165  0.165
Cu  0.786  0.214  0.500
Cu  0.786  0.500  0.214
Cu  0.835  0.344  0.835
Cu  0.835  0.835  0.344

Computed, not measured: K2ZrCuPt after structural relaxation at the PBE level of DFT.

As for the symmetry: P4/mmm, No. 123. The magnetization is 3.0 μB/f.u. The energy of formation is 1.101 eV/atom. The calculation puts the density of states at the Fermi level at 10.6 states/eV per cell. For the total energy, the calculation gives -3.075 eV per atom.

Cell: 6.012 6.012 4.847 Å, 90.00 90.00 90.00°
Element x y z (fractional)
K  0.000  0.500  0.000
K  0.500  0.000  0.000
Zr  0.000  0.000  0.500
Cu  0.500  0.500  0.500
Pt  0.500  0.500  0.000

Computed, not measured: KRbSi after structural relaxation at the PBE level of DFT.

As for the symmetry: C2/m, No. 12. As for the formation energy (no corrections): 0.0685 eV/atom. The magnetization is 0.0 μB/f.u. The calculation puts the density of states at the Fermi level at 5.4 states/eV per cell. For the total energy, the calculation gives -2.428 eV per atom.

Cell: 19.283 4.025 7.296 Å, 90.00 103.10 90.00°
Element x y z (fractional)
K  0.089  0.000  0.296
K  0.411  0.500  0.704
K  0.589  0.500  0.296
K  0.911  0.000  0.704
Rb  0.161  0.500  0.837
Rb  0.339  0.000  0.163
Rb  0.661  0.000  0.837
Rb  0.839  0.500  0.163
Si  0.238  0.500  0.408
Si  0.262  0.000  0.592
Si  0.738  0.000  0.408
Si  0.762  0.500  0.592

Computed, not measured: Ba2CdNiAg after structural relaxation at the PBE level of DFT.

For the polymorph energy (0 for the lowest one), the calculation gives 0.00 eV per formula unit. As for the symmetry: P4/mmm, No. 123. The magnetization is 0.0 μB/f.u. The energy of formation is -0.066 eV/atom. The calculation puts the density of states at the Fermi level at 3.5 states/eV per cell. For the total energy, the calculation gives -2.745 eV per atom.

Cell: 5.892 5.892 5.022 Å, 90.00 90.00 90.00°
Element x y z (fractional)
Ba  0.000  0.500  0.000
Ba  0.500  0.000  0.000
Cd  0.000  0.000  0.500
Ni  0.000  0.000  0.000
Ag  0.500  0.500  0.500